! Tl2HgMo, optimized geometry, DFT PBE; values from VASP
! - energy above the most stable polymorph in this dataset (kcal/mol of atoms) = 1.69
! - symmetry = Cmmm
! - calculated volume (Å³/atom) = 23.58
! - D(E_F) (states/eV/cell) = 4.83
&SYSTEM
  ibrav = 0, nat = 4, ntyp = 3
/
ATOMIC_SPECIES
Hg 200.59 Hg.upf
Mo 95.94 Mo.upf
Tl 204.38 Tl.upf
CELL_PARAMETERS angstrom
-2.9271 -0.5756 0.7370
1.4978 -2.6609 0.3447
2.0170 2.4179 9.8995
ATOMIC_POSITIONS angstrom
Hg -0.2104 -1.0137 3.0157
Mo 0.7981 0.1952 7.9655
Tl 1.9625 2.3525 9.6319
Tl 1.0630 1.2743 5.2174

! CsLiAg2, optimized geometry, DFT PBE; values from VASP
! - energy above the most stable polymorph in this dataset (kcal/mol of atoms) = 5.16
! - symmetry = I-42d
! - calculated volume (Å³/atom) = 35.98
! - D(E_F) (states/eV/cell) = 0.00
&SYSTEM
  ibrav = 0, nat = 8, ntyp = 3
/
ATOMIC_SPECIES
Cs 132.91 Cs.upf
Ag 107.87 Ag.upf
Li 6.94 Li.upf
CELL_PARAMETERS angstrom
-4.8968 5.3999 -4.2898
1.3678 -4.3961 -7.0953
-4.9796 -1.7820 -4.8973
ATOMIC_POSITIONS angstrom
Cs 0.0000 0.0000 0.0000
Cs -5.8205 2.0599 -7.4398
Ag -3.6049 1.7960 -4.3285
Ag -1.5316 -1.9342 -6.6589
Ag -4.9102 -1.4354 -8.7095
Ag -6.9705 0.0172 -12.8676
Li -1.7645 0.5019 -5.6925
Li -2.6881 -2.8381 -8.8425

! ZrSiAu2, optimized geometry, DFT PBE; values from VASP
! - formation energy from raw total energies (eV/atom) = -0.171
! - symmetry = C2/m
! - calculated volume (Å³/atom) = 18.51
! - D(E_F) (states/eV/cell) = 2.37
&SYSTEM
  ibrav = 0, nat = 4, ntyp = 3
/
ATOMIC_SPECIES
Au 196.97 Au.upf
Si 28.09 Si.upf
Zr 91.22 Zr.upf
CELL_PARAMETERS angstrom
-1.0863 -0.1476 4.8091
-3.3521 -3.4898 -3.3351
1.2325 -2.6193 0.3154
ATOMIC_POSITIONS angstrom
Au 0.0000 0.0000 0.0000
Au 0.0731 -1.3835 2.5623
Si -1.0598 -3.0546 -1.5099
Zr -2.2192 -1.8187 0.7370

! Pm2Be7Pt12, optimized geometry, DFT PBE; values from VASP
! - DFT total energy (eV/atom) = -5.928
! - symmetry = P-6
! - calculated volume (Å³/atom) = 14.51
! - D(E_F) (states/eV/cell) = 7.11
&SYSTEM
  ibrav = 0, nat = 21, ntyp = 3
/
ATOMIC_SPECIES
Pm 145.00 Pm.upf
Be 9.01 Be.upf
Pt 195.08 Pt.upf
CELL_PARAMETERS angstrom
3.8460 0.0000 0.0000
0.0000 8.2821 -4.7817
0.0000 0.0000 9.5633
ATOMIC_POSITIONS angstrom
Pm 1.9230 0.0000 0.0000
Pm 0.0000 5.5214 0.0000
Be 0.0000 2.7607 4.7817
Be 0.0000 0.3783 7.1980
Be 0.0000 6.0445 5.6368
Be 0.0000 1.8593 1.5102
Be 1.9230 5.1529 2.4127
Be 1.9230 7.7951 -0.8873
Be 1.9230 3.6162 -1.5255
Pt 1.9230 7.3711 1.5617
Pt 1.9230 5.9491 -2.3828
Pt 1.9230 3.2440 0.8210
Pt 1.9230 1.8872 6.5352
Pt 1.9230 4.7160 4.6614
Pt 1.9230 1.6789 3.1485
Pt 0.0000 0.5059 4.9360
Pt 0.0000 4.0217 6.6572
Pt 0.0000 3.7544 2.7518
Pt 0.0000 6.4238 3.3046
Pt 0.0000 7.9321 -2.4337
Pt 0.0000 2.2084 -0.8708

! Na2AlTcPb, optimized geometry, DFT PBE; values from VASP
! - DFT total energy (eV/atom) = -3.304
! - symmetry = P4/mmm
! - calculated volume (Å³/atom) = 27.25
! - D(E_F) (states/eV/cell) = 3.17
&SYSTEM
  ibrav = 0, nat = 5, ntyp = 4
/
ATOMIC_SPECIES
Pb 207.20 Pb.upf
Na 22.99 Na.upf
Tc 98.00 Tc.upf
Al 26.98 Al.upf
CELL_PARAMETERS angstrom
-3.1898 4.2941 -0.3834
-2.4296 -2.1149 -3.4730
-3.3196 -2.1421 3.6267
ATOMIC_POSITIONS angstrom
Pb -4.4695 0.0186 -0.1149
Na -1.6598 -1.0711 1.8134
Na -1.5949 2.1471 -0.1917
Tc -1.2148 -1.0574 -1.7365
Al 0.0000 0.0000 0.0000

! PaTa2SiC4, optimized geometry, DFT PBE; values from VASP
! - formation energy from raw total energies (eV/atom) = -0.300
! - symmetry = Cmcm
! - calculated volume (Å³/atom) = 12.10
! - D(E_F) (states/eV/cell) = 7.78
&SYSTEM
  ibrav = 0, nat = 16, ntyp = 4
/
ATOMIC_SPECIES
Pa 231.04 Pa.upf
Ta 180.95 Ta.upf
Si 28.09 Si.upf
C 12.01 C.upf
CELL_PARAMETERS angstrom
-2.9747 -0.1254 1.2312
2.8903 -4.3082 2.3289
3.1426 6.5747 8.2621
ATOMIC_POSITIONS angstrom
Pa 2.6513 4.0140 6.8144
Pa 0.4069 -1.8728 5.0079
Ta 2.7362 0.3237 6.6437
Ta -0.9937 -0.9351 1.7195
Ta 0.3220 1.8174 5.1786
Ta 4.0518 3.0763 10.1028
Si 1.8258 1.8892 8.8192
Si 1.2324 0.2519 3.0031
C 1.1193 -1.5266 2.5488
C 1.1205 1.9556 7.1219
C 1.9389 3.6678 9.2735
C 1.9376 0.1855 4.7004
C 1.5713 3.2874 4.1311
C 0.0000 0.0000 0.0000
C 3.5719 1.1457 8.7467
C -0.5138 0.9954 3.0756

! Tb8PmTm4, optimized geometry, DFT PBE; values from VASP
! - DFT total energy (eV/atom) = -4.392
! - symmetry = R-3m
! - calculated volume (Å³/atom) = 31.83
! - D(E_F) (states/eV/cell) = 14.53
&SYSTEM
  ibrav = 0, nat = 13, ntyp = 3
/
ATOMIC_SPECIES
Tb 158.93 Tb.upf
Pm 145.00 Pm.upf
Tm 168.93 Tm.upf
CELL_PARAMETERS angstrom
6.3825 -0.0004 -3.4434
-4.1199 5.9682 -0.0005
1.2177 0.8414 9.8940
ATOMIC_POSITIONS angstrom
Tb 0.8054 4.9622 1.4922
Tb 2.6749 1.8470 4.9580
Tb 2.5221 1.7411 1.2555
Tb 6.0911 1.7717 3.6532
Tb 0.9582 5.0680 5.1946
Tb 3.8157 5.0678 3.6530
Tb -0.3354 1.7413 2.7972
Tb -2.6108 5.0375 2.7969
Pm -1.4511 3.4048 4.9468
Tm 0.0000 0.0000 0.0000
Tm -2.0599 2.9841 -0.0002
Tm 1.1313 2.9839 -1.7219
Tm 3.1912 -0.0002 -1.7217

! Sm2Tm4S9, optimized geometry, DFT PBE; values from VASP
! - formation energy from raw total energies (eV/atom) = -2.048
! - symmetry = P-3c1
! - calculated volume (Å³/atom) = 25.39
! - D(E_F) (states/eV/cell) = 0.00
&SYSTEM
  ibrav = 0, nat = 30, ntyp = 3
/
ATOMIC_SPECIES
Sm 150.36 Sm.upf
Tm 168.93 Tm.upf
S 32.06 S.upf
CELL_PARAMETERS angstrom
6.8998 0.0007 0.0144
3.4491 5.9761 0.0379
-0.0401 -0.0930 18.4704
ATOMIC_POSITIONS angstrom
Sm 6.8836 -0.0315 6.5382
Sm 10.3407 5.9622 2.7621
Sm 3.4252 5.9153 11.9845
Sm -0.0319 -0.0784 15.7605
Tm 3.4106 1.9008 18.2151
Tm 3.4298 1.9472 8.9805
Tm 6.8982 3.9830 0.3076
Tm 3.4396 1.9750 3.4128
Tm 6.8790 3.9366 9.5422
Tm 6.8841 3.9550 5.8740
Tm 3.4247 1.9288 12.6486
Tm 6.8693 3.9088 15.1099
S 1.0341 1.7703 13.8648
S 4.4829 4.0666 13.8849
S 4.7481 -0.0689 13.8634
S 9.2748 4.1135 4.6579
S 5.8259 1.8172 4.6378
S 5.5608 5.9527 4.6593
S 7.8278 5.7648 7.7374
S 7.9831 2.2164 7.7202
S 4.8328 3.8580 7.7230
S 4.3914 0.1658 1.5538
S 4.5461 3.7139 1.5715
S 1.3965 2.0708 1.5545
S 2.4810 0.1190 10.7853
S 2.3257 3.6674 10.8025
S 5.4760 2.0258 10.7996
S 5.9174 5.7180 16.9688
S 5.7627 2.1699 16.9512
S 8.9123 3.8129 16.9682

! TbSm2Y3P6, optimized geometry, DFT PBE; values from VASP
! - DFT total energy (eV/atom) = -7.098
! - symmetry = C2/m
! - calculated volume (Å³/atom) = 23.45
! - D(E_F) (states/eV/cell) = 1.62
&SYSTEM
  ibrav = 0, nat = 12, ntyp = 4
/
ATOMIC_SPECIES
Tb 158.93 Tb.upf
Sm 150.36 Sm.upf
Y 88.91 Y.upf
P 30.97 P.upf
CELL_PARAMETERS angstrom
-4.0662 -2.3188 5.2201
4.5079 -4.3612 -3.1336
4.5155 3.8997 3.6812
ATOMIC_POSITIONS angstrom
Tb 0.0000 0.0000 0.0000
Sm 1.6483 -3.6800 -0.3474
Sm -1.2065 -3.0000 2.4340
Y 5.3322 -2.0699 0.1036
Y -0.3750 -0.7104 5.6641
Y 2.4786 -1.3901 2.8839
P 2.2833 -1.7623 5.6942
P 1.4800 -4.0461 2.5083
P 2.6739 -1.0180 0.0735
P 5.1195 -2.4379 2.9308
P 3.4772 1.2658 3.2594
P -0.1623 -0.3424 2.8369

! FeNi2As8, optimized geometry, DFT PBE; values from VASP
! - DFT total energy (eV/atom) = -5.091
! - symmetry = C2/m
! - calculated volume (Å³/atom) = 18.93
! - D(E_F) (states/eV/cell) = 4.35
&SYSTEM
  ibrav = 0, nat = 11, ntyp = 3
/
ATOMIC_SPECIES
Ni 58.69 Ni.upf
As 74.92 As.upf
Fe 55.84 Fe.upf
CELL_PARAMETERS angstrom
-2.0670 2.7313 2.3931
-7.4284 -0.0184 -2.5745
-5.6301 -4.1044 3.6423
ATOMIC_POSITIONS angstrom
Ni -10.8601 -2.7859 1.3105
Ni -4.2655 1.3944 2.1503
As -10.0618 0.6705 1.1544
As -5.9023 -0.1567 -0.5925
As -12.8445 -1.9862 2.4102
As -2.2810 0.5946 1.0507
As -9.2232 -1.2349 4.0534
As -5.0637 -2.0621 2.3065
As -8.8584 -1.6508 1.4775
As -6.2672 0.2592 1.9833
Fe 0.0000 0.0000 0.0000

! Pr2HoSc6, optimized geometry, DFT PBE; values from VASP
! - DFT total energy (eV/atom) = -5.714
! - symmetry = P6/mmm
! - calculated volume (Å³/atom) = 27.61
! - D(E_F) (states/eV/cell) = 16.89
&SYSTEM
  ibrav = 0, nat = 9, ntyp = 3
/
ATOMIC_SPECIES
Pr 140.91 Pr.upf
Ho 164.93 Ho.upf
Sc 44.96 Sc.upf
CELL_PARAMETERS angstrom
3.2948 -0.2584 -0.2072
0.8119 9.1694 1.3881
0.8119 3.3446 8.6498
ATOMIC_POSITIONS angstrom
Pr 0.5415 4.1720 3.3465
Pr 4.3772 8.0839 6.4843
Ho 4.9184 12.2555 9.8304
Sc 1.9135 0.9762 2.7540
Sc 3.0066 11.2794 7.0764
Sc 3.0066 9.3553 9.4752
Sc 2.4578 5.1396 6.1478
Sc 2.4578 7.1165 3.6831
Sc 1.9135 2.9002 0.3554

! Tm2NiPt, optimized geometry, DFT PBE; values from VASP
! - DFT total energy (eV/atom) = -6.114
! - symmetry = P2_1/m
! - calculated volume (Å³/atom) = 20.48
! - D(E_F) (states/eV/cell) = 5.23
&SYSTEM
  ibrav = 0, nat = 8, ntyp = 3
/
ATOMIC_SPECIES
Tm 168.93 Tm.upf
Ni 58.69 Ni.upf
Pt 195.08 Pt.upf
CELL_PARAMETERS angstrom
-3.4174 -1.6717 -1.9131
3.1093 -1.5085 -4.2360
-0.2014 -5.4609 5.1316
ATOMIC_POSITIONS angstrom
Tm -1.9634 -3.9310 -0.1667
Tm 1.4538 -4.7101 -0.8509
Tm 1.5664 -1.9794 -3.4380
Tm -2.0759 -6.6617 2.4204
Ni 0.1565 -2.0629 -0.8465
Ni -0.6660 -6.5782 -0.1710
Pt -0.5797 -3.8163 -2.7385
Pt 0.0702 -4.8248 1.7210

! Nb3CrAs, optimized geometry, DFT PBE; values from VASP
! - DFT total energy (eV/atom) = -8.110
! - symmetry = Pm-3m
! - calculated volume (Å³/atom) = 19.68
! - D(E_F) (states/eV/cell) = 3.29
&SYSTEM
  ibrav = 0, nat = 5, ntyp = 3
/
ATOMIC_SPECIES
Cr 52.00 Cr.upf
Nb 92.91 Nb.upf
As 74.92 As.upf
CELL_PARAMETERS angstrom
4.6168 0.0000 0.0000
0.0000 4.6168 0.0000
0.0000 0.0000 4.6168
ATOMIC_POSITIONS angstrom
Cr 0.0000 0.0000 0.0000
Nb 0.0000 2.3084 0.0000
Nb 0.0000 0.0000 2.3084
Nb 2.3084 0.0000 0.0000
As 2.3084 2.3084 2.3084